Below is a relaxed structure of NpMoO3, with properties calculated at the PBE+U level.

The structure in CIF format:
```
data_NpMoO3
_chemical_formula_sum 'Np1 Mo1 O3'
_cell_length_a 4.108
_cell_length_b 4.108
_cell_length_c 4.108
_cell_angle_alpha 90.00
_cell_angle_beta 90.00
_cell_angle_gamma 90.00
_symmetry_space_group_name_H-M 'P m -3 m'
_symmetry_Int_Tables_number 221
_symmetry_space_group_name_Hall '-P 4 2 3'
loop_
_atom_site_label
_atom_site_type_symbol
_atom_site_fract_x
_atom_site_fract_y
_atom_site_fract_z
Np1 Np 0.000 0.000 0.000
Mo1 Mo 0.500 0.500 0.500
O1 O 0.000 0.500 0.500
```

M_tot in Bohr magnetons per cell: 7.00
Raw total energy in eV per cell: -43.69